Entry 1:
AcPuAlIn: relaxed, PBE.

Results
E_tot in eV per atom: -6.35
Energy of formation from the pure elements in meV/atom: -118
DOS(E_F) in states/eV/atom: 2.584

Cell lengths 7.7731, 7.7731, 7.7731 Å; angles 90.00, 90.00, 90.00 degrees
With the nearest neighbours (Å) after each atom.
Space group F-43m (No. 216)
Inequivalent atoms, fractional coordinates:
Ac 0.0000 0.0000 0.0000 (multiplicity 4)  4 Al 3.37, 4 In 3.37
Pu 0.0000 0.0000 0.5000 (multiplicity 4)  4 In 3.37, 4 Al 3.37
Al 0.2500 0.2500 0.7500 (multiplicity 4)  4 Ac 3.37, 4 Pu 3.37
In 0.2500 0.2500 0.2500 (multiplicity 4)  4 Ac 3.37, 4 Pu 3.37

***

Entry 2:
Ac2AlInS6: relaxed, PBE.

Results
E_tot in eV per atom: -5.44
Formation energy from raw total energies in eV/atom: -1.4897
DOS(E_F) in states/eV/atom: 0.000

Cell lengths 6.6801, 7.2721, 11.7399 Å; angles 90.00, 124.62, 90.00 degrees
With the nearest neighbours (Å) after each atom.
Space group P2_1/c (No. 14)
Inequivalent atoms, fractional coordinates:
Ac 0.2191 0.0959 0.2506 (multiplicity 4)  8 S 2.99-3.31
Al 0.5000 0.0000 0.0000 (multiplicity 2)  6 S 2.41-2.56
In 0.0000 0.0000 0.5000 (multiplicity 2)  6 S 2.61-2.75
S 0.1549 0.1763 0.9537 (multiplicity 4)  1 Al 2.41
S 0.2705 0.6957 0.9506 (multiplicity 4)  1 Al 2.56, 1 In 2.61
S 0.3610 0.0110 0.7607 (multiplicity 4)  1 Al 2.41, 1 In 2.61

***

Entry 3:
AcAl2InS6: relaxed, PBE.

Results
E_tot in eV per atom: -5.05
Formation energy from raw total energies in eV/atom: -1.1448
DOS(E_F) in states/eV/atom: 0.000

Cell lengths 13.4226, 11.1216, 7.5107 Å; angles 90.00, 114.97, 90.00 degrees
With the nearest neighbours (Å) after each atom.
Space group C2/c (No. 15)
Inequivalent atoms, fractional coordinates:
Ac 0.0000 0.1710 0.2500 (multiplicity 4)  6 S 2.94-3.22
Al 0.1949 0.4420 0.1945 (multiplicity 8)  4 S 2.26-2.31
In 0.0000 0.2029 0.7500 (multiplicity 4)  4 S 2.43-2.55
S 0.1159 0.0573 0.6531 (multiplicity 8)  1 Al 2.30, 1 In 2.55
S 0.1412 0.4202 0.4478 (multiplicity 8)  2 Al 2.27-2.31
S 0.1441 0.2554 0.0697 (multiplicity 8)  1 Al 2.26, 1 In 2.43